[1]
DFT (GGA-PBE) results for MnSb2PI after structural relaxation.

Calculated values
- uncorrected formation energy (meV per atom) = 778
- D(E_F) (states/eV per cell) = 5.1
- E above lowest polymorph (kcal/mol of atoms) = 0.000

Cell: 5.105 5.105 5.045 Å, 90.00 90.00 90.00°
Site moments in Bohr magnetons follow the coordinates.
Atoms (fractional coordinates):
P 0.500 0.500 0.500  -0.10
Mn 0.000 0.000 0.000  2.55
I 0.000 0.000 0.500  0.07
Sb 0.500 0.000 0.000  -0.09
Sb 0.000 0.500 0.000  -0.09

---

[2]
DFT (GGA-PBE) results for Tb4Sm3Pu after structural relaxation.

Calculated values
- D(E_F) (states/eV per cell) = 16.2
- calculated formation energy (eV/atom) = 0.149

Cell: 3.446 11.629 8.853 Å, 131.06 101.22 90.00°
Site moments in Bohr magnetons follow the coordinates.
Atoms (fractional coordinates):
Sm 0.000 0.500 0.000  -0.05
Sm 0.236 0.236 0.472  0.04
Tb 0.368 0.116 0.736  0.04
Tb 0.368 0.620 0.736  0.04
Pu 0.500 0.000 0.000  5.70
Tb 0.632 0.884 0.264  0.04
Sm 0.764 0.764 0.528  0.04
Tb 0.632 0.380 0.264  0.04

---

[3]
DFT (GGA-PBE) results for Sn2TePd8 after structural relaxation.

Calculated values
- uncorrected formation energy (meV per atom) = -427
- D(E_F) (states/eV per cell) = 4.7
- E above lowest polymorph (kcal/mol of atoms) = 0.000

Cell: 4.076 4.076 11.924 Å, 99.86 99.84 90.00°
Atoms (fractional coordinates):
Sn 0.833 0.334 0.667
Te 0.500 0.000 0.000
Sn 0.167 0.666 0.333
Pd 0.423 0.423 0.846
Pd 0.077 0.077 0.154
Pd 0.662 0.161 0.323
Pd 0.577 0.577 0.154
Pd 0.250 0.250 0.500
Pd 0.750 0.750 0.500
Pd 0.923 0.923 0.846
Pd 0.338 0.839 0.677

---

What is the formula in the second record?
Tb4Sm3Pu

---

The highest D(E_F) belongs to which entry?
Tb4Sm3Pu

---

What is the D(E_F) in the first record?
5.1 states/eV per cell